[1]
Compound: HfIrSe2
Source: Alexandria
Functional: PBE-GGA
Structure: relaxed

```
data_HfIrSe2
_chemical_formula_sum 'Hf1 Ir1 Se2'
_cell_length_a 8.6250
_cell_length_b 8.6250
_cell_length_c 8.6250
_cell_angle_alpha 22.39
_cell_angle_beta 22.39
_cell_angle_gamma 22.39
_symmetry_space_group_name_H-M 'P 1'
_symmetry_Int_Tables_number 1
loop_
_symmetry_equiv_pos_as_xyz
'x,y,z'
loop_
_atom_site_label
_atom_site_fract_x
_atom_site_fract_y
_atom_site_fract_z
Hf1 0.0000 0.0000 0.0000
Ir1 0.5000 0.5000 0.5000
Se1 0.4052 0.4052 0.4052
Se2 0.5948 0.5948 0.5948
```

Values from the calculation:
crystal system = trigonal
E_form (uncorrected) = -0.226 eV/atom
symmetry = R-3m (166)
energy relative to the lowest polymorph listed for this composition = 0.127 eV/atom

---

[2]
Compound: In2SiHRu
Source: Alexandria
Functional: PBE-GGA
Structure: relaxed

```
data_In2SiHRu
_chemical_formula_sum 'In2 Si1 H1 Ru1'
_cell_length_a 4.7771
_cell_length_b 4.7771
_cell_length_c 3.4017
_cell_angle_alpha 90.00
_cell_angle_beta 90.00
_cell_angle_gamma 90.00
_symmetry_space_group_name_H-M 'P 1'
_symmetry_Int_Tables_number 1
loop_
_symmetry_equiv_pos_as_xyz
'x,y,z'
loop_
_atom_site_label
_atom_site_fract_x
_atom_site_fract_y
_atom_site_fract_z
In1 0.0000 0.5000 0.0000
In2 0.5000 0.0000 0.0000
Si1 0.0000 0.0000 0.5000
H1 0.0000 0.0000 0.0000
Ru1 0.5000 0.5000 0.5000
```

Values from the calculation:
crystal system = tetragonal
symmetry = P4/mmm (123)

---

[3]
Compound: PuCdH2
Source: Alexandria
Functional: PBE-GGA
Structure: relaxed

```
data_PuCdH2
_chemical_formula_sum 'Pu1 Cd1 H2'
_cell_length_a 5.6854
_cell_length_b 5.6854
_cell_length_c 5.6854
_cell_angle_alpha 37.66
_cell_angle_beta 37.66
_cell_angle_gamma 37.66
_symmetry_space_group_name_H-M 'P 1'
_symmetry_Int_Tables_number 1
loop_
_symmetry_equiv_pos_as_xyz
'x,y,z'
loop_
_atom_site_label
_atom_site_fract_x
_atom_site_fract_y
_atom_site_fract_z
Pu1 0.0000 0.0000 0.0000
Cd1 0.5000 0.5000 0.5000
H1 0.2904 0.2904 0.2904
H2 0.7096 0.7096 0.7096
```

Values from the calculation:
crystal system = trigonal
symmetry = R-3m (166)

---

[4]
Compound: ThTl2Sb2O6
Source: Alexandria
Functional: PBE-GGA
Structure: relaxed

```
data_ThTl2Sb2O6
_chemical_formula_sum 'Th1 Tl2 Sb2 O6'
_cell_length_a 6.2975
_cell_length_b 6.2975
_cell_length_c 7.6055
_cell_angle_alpha 96.58
_cell_angle_beta 96.58
_cell_angle_gamma 60.09
_symmetry_space_group_name_H-M 'P 1'
_symmetry_Int_Tables_number 1
loop_
_symmetry_equiv_pos_as_xyz
'x,y,z'
loop_
_atom_site_label
_atom_site_fract_x
_atom_site_fract_y
_atom_site_fract_z
Th1 0.0000 0.0000 0.0000
Tl1 0.3198 0.3198 0.8382
Tl2 0.6802 0.6802 0.1618
Sb1 0.3613 0.3613 0.3004
Sb2 0.6387 0.6387 0.6996
O1 0.1956 0.1956 0.1597
O2 0.1975 0.6589 0.1660
O3 0.3411 0.8025 0.8340
O4 0.6589 0.1975 0.1660
O5 0.8025 0.3411 0.8340
O6 0.8044 0.8044 0.8403
```

Values from the calculation:
crystal system = monoclinic
E_form (uncorrected) = -1.816 eV/atom
symmetry = C2/m (12)

---

[5]
Compound: LaCdPbF2
Source: Alexandria
Functional: PBE-GGA
Structure: relaxed

```
data_LaCdPbF2
_chemical_formula_sum 'La1 Cd1 Pb1 F2'
_cell_length_a 4.4371
_cell_length_b 4.4371
_cell_length_c 8.3503
_cell_angle_alpha 90.00
_cell_angle_beta 90.00
_cell_angle_gamma 90.00
_symmetry_space_group_name_H-M 'P 1'
_symmetry_Int_Tables_number 1
loop_
_symmetry_equiv_pos_as_xyz
'x,y,z'
loop_
_atom_site_label
_atom_site_fract_x
_atom_site_fract_y
_atom_site_fract_z
La1 0.0000 0.0000 0.0000
Cd1 0.0000 0.0000 0.5000
Pb1 0.5000 0.5000 0.0000
F1 0.0000 0.5000 0.5000
F2 0.5000 0.0000 0.5000
```

Values from the calculation:
crystal system = tetragonal
E_form (uncorrected) = -0.970 eV/atom
symmetry = P4/mmm (123)

---

[6]
Compound: La4PrSe6
Source: Alexandria
Functional: PBE-GGA
Structure: relaxed

```
data_La4PrSe6
_chemical_formula_sum 'La8 Pr2 Se12'
_cell_length_a 8.5243
_cell_length_b 8.5243
_cell_length_c 8.5243
_cell_angle_alpha 90.66
_cell_angle_beta 90.66
_cell_angle_gamma 90.66
_symmetry_space_group_name_H-M 'P 1'
_symmetry_Int_Tables_number 1
loop_
_symmetry_equiv_pos_as_xyz
'x,y,z'
loop_
_atom_site_label
_atom_site_fract_x
_atom_site_fract_y
_atom_site_fract_z
La1 0.1346 0.7500 0.3654
La2 0.2500 0.2500 0.2500
La3 0.2500 0.6346 0.8654
La4 0.3654 0.1346 0.7500
La5 0.6346 0.8654 0.2500
La6 0.7500 0.3654 0.1346
La7 0.7500 0.7500 0.7500
La8 0.8654 0.2500 0.6346
Pr1 0.0000 0.0000 0.0000
Pr2 0.5000 0.5000 0.5000
Se1 0.0609 0.9120 0.6769
Se2 0.0880 0.3231 0.9391
Se3 0.1769 0.4120 0.5609
Se4 0.3231 0.9391 0.0880
Se5 0.4120 0.5609 0.1769
Se6 0.4391 0.8231 0.5880
Se7 0.5609 0.1769 0.4120
Se8 0.5880 0.4391 0.8231
Se9 0.6769 0.0609 0.9120
Se10 0.8231 0.5880 0.4391
Se11 0.9120 0.6769 0.0609
Se12 0.9391 0.0880 0.3231
```

Values from the calculation:
crystal system = trigonal
E_form (uncorrected) = -1.843 eV/atom
symmetry = R-3c (167)

---

[7]
Compound: NdYGe2Rh5
Source: Alexandria
Functional: PBE-GGA
Structure: relaxed

```
data_NdYGe2Rh5
_chemical_formula_sum 'Nd1 Y1 Ge2 Rh5'
_cell_length_a 4.2166
_cell_length_b 4.2166
_cell_length_c 9.0112
_cell_angle_alpha 90.00
_cell_angle_beta 90.00
_cell_angle_gamma 90.00
_symmetry_space_group_name_H-M 'P 1'
_symmetry_Int_Tables_number 1
loop_
_symmetry_equiv_pos_as_xyz
'x,y,z'
loop_
_atom_site_label
_atom_site_fract_x
_atom_site_fract_y
_atom_site_fract_z
Nd1 0.0000 0.0000 0.0000
Y1 0.0000 0.0000 0.5000
Ge1 0.5000 0.5000 0.3601
Ge2 0.5000 0.5000 0.6399
Rh1 0.0000 0.5000 0.2329
Rh2 0.0000 0.5000 0.7671
Rh3 0.5000 0.0000 0.2329
Rh4 0.5000 0.0000 0.7671
Rh5 0.5000 0.5000 0.0000
```

Values from the calculation:
crystal system = tetragonal
energy relative to the elements = -0.69 eV/atom
symmetry = P4/mmm (123)

---

[8]
Compound: TbZrGe2
Source: Alexandria
Functional: PBE-GGA
Structure: relaxed

```
data_TbZrGe2
_chemical_formula_sum 'Tb1 Zr1 Ge2'
_cell_length_a 7.1203
_cell_length_b 7.1203
_cell_length_c 7.1203
_cell_angle_alpha 32.24
_cell_angle_beta 32.24
_cell_angle_gamma 32.24
_symmetry_space_group_name_H-M 'P 1'
_symmetry_Int_Tables_number 1
loop_
_symmetry_equiv_pos_as_xyz
'x,y,z'
loop_
_atom_site_label
_atom_site_fract_x
_atom_site_fract_y
_atom_site_fract_z
Tb1 0.0000 0.0000 0.0000
Zr1 0.5000 0.5000 0.5000
Ge1 0.2438 0.2438 0.2438
Ge2 0.7562 0.7562 0.7562
```

Values from the calculation:
crystal system = trigonal
energy relative to the elements = -0.73 eV/atom
symmetry = R-3m (166)
energy relative to the lowest polymorph listed for this composition = 0.000 eV/atom

---

Number 1: final energy -6.67 eV/atom. Number 2: final energy -4.24 eV/atom. Number 3: final energy -5.61 eV/atom. Number 4: final energy -6.37 eV/atom. Number 5: final energy -3.63 eV/atom. Number 6: final energy -5.97 eV/atom. Number 7: final energy -7.04 eV/atom. Number 8: final energy -6.33 eV/atom.